1.
Density functional theory data (GGA-PBE) for SrTaPt2Cl after structural relaxation.

The space group is P4/mmm (No. 123) and the conventional cell measures 5.056, 5.056 and 4.808 Å, with angles of 90.00, 90.00 and 90.00 degrees. The asymmetric unit holds Sr at (0.000, 0.000, 0.000), Ta at (0.500, 0.500, 0.500), Pt at (0.000, 0.500, 0.500) and Cl at (0.500, 0.500, 0.000).

2.
Density functional theory data (GGA-PBE) for Sc3ZnN after structural relaxation.

The space group is C2/c (No. 15) and the conventional cell measures 10.569, 12.173 and 5.520 Å, with angles of 90.00, 92.75 and 90.00 degrees. The asymmetric unit holds Sc at (0.104, 0.163, 0.070), Sc at (0.115, 0.431, 0.093), Sc at (0.120, 0.307, 0.586), Zn at (0.159, 0.071, 0.565), N at (0.000, 0.298, 0.250) and N at (0.000, 0.436, 0.750).

Electronic total energy: -5.92, -6.52 (eV per atom)